# La12I3N5 PBE-GGA relaxed
# V ... 4598.7 Å³ per cell
# E_form (uncorrected) ... -0.863 eV per atom
# Density of states at the Fermi level ... 0.947 states/eV/atom
data_La12I3N5
_chemical_formula_sum 'La96 I24 N40'
_cell_length_a 16.6295
_cell_length_b 16.6295
_cell_length_c 16.6295
_cell_angle_alpha 90.00
_cell_angle_beta 90.00
_cell_angle_gamma 90.00
_symmetry_space_group_name_H-M 'I a -3 d'
_symmetry_Int_Tables_number 230
_symmetry_space_group_name_Hall '-I 4bd 2c 3'
loop_
_atom_site_label
_atom_site_type_symbol
_atom_site_fract_x
_atom_site_fract_y
_atom_site_fract_z
_atom_site_occupancy
La1 La 0.0403 0.0469 0.6474 1
I1 I 0.0000 0.2500 0.1250 1
N1 N 0.0000 0.0000 0.0000 1
N2 N 0.0000 0.2500 0.3750 1

***

# Nd4Sm4Er3 PBE-GGA relaxed
# Energy above the most stable polymorph in this dataset ... 0.43 kcal/mol of atoms
# V ... 366.5 Å³ per cell
# Density of states at the Fermi level ... 1.706 states/eV/atom
# Calculated formation energy ... 0.06 eV per atom
data_Nd4Sm4Er3
_chemical_formula_sum 'Nd4 Sm4 Er3'
_cell_length_a 3.5623
_cell_length_b 5.7047
_cell_length_c 18.3444
_cell_angle_alpha 81.12
_cell_angle_beta 84.44
_cell_angle_gamma 90.00
_symmetry_space_group_name_H-M 'P -1'
_symmetry_Int_Tables_number 2
loop_
_symmetry_equiv_pos_as_xyz
'x,y,z'
'-x,-y,-z'
loop_
_atom_site_label
_atom_site_type_symbol
_atom_site_fract_x
_atom_site_fract_y
_atom_site_fract_z
_atom_site_occupancy
Nd1 Nd 0.0459 0.0477 0.4078 1
Nd2 Nd 0.1792 0.6801 0.1406 1
Sm1 Sm 0.0900 0.5916 0.3193 1
Sm2 Sm 0.2329 0.2327 0.0347 1
Er1 Er 0.3646 0.8635 0.7720 1
Er2 Er 0.5000 0.5000 0.5000 1

***

# LiOsF3 PBE-GGA relaxed
# Energy above the most stable polymorph in this dataset ... 0.99 kcal/mol of atoms
# V ... 53.7 Å³ per cell
# E_form (uncorrected) ... -0.926 eV per atom
# Density of states at the Fermi level ... 0.687 states/eV/atom
data_LiOsF3
_chemical_formula_sum 'Li1 Os1 F3'
_cell_length_a 3.7719
_cell_length_b 3.7719
_cell_length_c 3.7719
_cell_angle_alpha 90.00
_cell_angle_beta 90.00
_cell_angle_gamma 90.00
_symmetry_space_group_name_H-M 'P m -3 m'
_symmetry_Int_Tables_number 221
_symmetry_space_group_name_Hall '-P 4 2 3'
loop_
_atom_site_label
_atom_site_type_symbol
_atom_site_fract_x
_atom_site_fract_y
_atom_site_fract_z
_atom_site_occupancy
Li1 Li 0.0000 0.0000 0.0000 1
Os1 Os 0.5000 0.5000 0.5000 1
F1 F 0.0000 0.0000 0.5000 1

***

- Which value of density of states at the Fermi level does entry 1 give?
  0.947 states/eV/atom